# 1
DFT (PBE) results for an optimized crystal structure of BaRuAu.

Summary:
Calculated formation energy, eV per atom: 0.175
Energy above the lowest structure with this stoichiometry, meV per atom: 0

The structure in CIF format:
```
data_BaRuAu
_symmetry_space_group_name_H-M 'P -6 m 2'
_symmetry_Int_Tables_number 187
_symmetry_space_group_name_Hall 'P -6 2'
_cell_length_a 4.4901
_cell_length_b 4.4901
_cell_length_c 4.7930
_cell_angle_alpha 90.00
_cell_angle_beta 90.00
_cell_angle_gamma 120.00
loop_
_atom_site_label
_atom_site_type_symbol
_atom_site_fract_x
_atom_site_fract_y
_atom_site_fract_z
_atom_site_occupancy
Ba1 Ba 0.0000 0.0000 0.0000 1
Ru1 Ru 0.6667 0.3333 0.5000 1
Au1 Au 0.3333 0.6667 0.5000 1
```

***

# 2
DFT (PBE) results for an optimized crystal structure of InNiIr.

Summary:
Calculated formation energy, eV per atom: 0.101
Energy above the lowest structure with this stoichiometry, meV per atom: 25

The structure in CIF format:
```
data_InNiIr
_symmetry_space_group_name_H-M 'P -6 m 2'
_symmetry_Int_Tables_number 187
_symmetry_space_group_name_Hall 'P -6 2'
_cell_length_a 4.2549
_cell_length_b 4.2549
_cell_length_c 3.0251
_cell_angle_alpha 90.00
_cell_angle_beta 90.00
_cell_angle_gamma 120.00
loop_
_atom_site_label
_atom_site_type_symbol
_atom_site_fract_x
_atom_site_fract_y
_atom_site_fract_z
_atom_site_occupancy
In1 In 0.0000 0.0000 0.0000 1
Ni1 Ni 0.3333 0.6667 0.5000 1
Ir1 Ir 0.6667 0.3333 0.5000 1
```

***

# 3
DFT (PBE) results for an optimized crystal structure of NaBTe3.

Summary:
Formation energy without anion corrections, eV/atom: 1.442
Energy above the lowest structure with this stoichiometry, meV per atom: 1471

The structure in CIF format:
```
data_NaBTe3
_symmetry_space_group_name_H-M 'P m -3 m'
_symmetry_Int_Tables_number 221
_symmetry_space_group_name_Hall '-P 4 2 3'
_cell_length_a 5.512
_cell_length_b 5.512
_cell_length_c 5.512
_cell_angle_alpha 90.00
_cell_angle_beta 90.00
_cell_angle_gamma 90.00
loop_
_atom_site_label
_atom_site_type_symbol
_atom_site_fract_x
_atom_site_fract_y
_atom_site_fract_z
_atom_site_occupancy
Na1 Na 0.000 0.000 0.000 1
B1 B 0.500 0.500 0.500 1
Te1 Te 0.000 0.000 0.500 1
```

***

# 4
DFT (PBE) results for an optimized crystal structure of AgP2W2.

Summary:
Calculated formation energy, eV per atom: 0.018

The structure in CIF format:
```
data_AgP2W2
_symmetry_space_group_name_H-M 'I 4/m m m'
_symmetry_Int_Tables_number 139
_symmetry_space_group_name_Hall '-I 4 2'
_cell_length_a 4.173
_cell_length_b 4.173
_cell_length_c 9.350
_cell_angle_alpha 90.00
_cell_angle_beta 90.00
_cell_angle_gamma 90.00
loop_
_atom_site_label
_atom_site_type_symbol
_atom_site_fract_x
_atom_site_fract_y
_atom_site_fract_z
_atom_site_occupancy
Ag1 Ag 0.000 0.000 0.000 1
P1 P 0.000 0.000 0.382 1
W1 W 0.000 0.500 0.250 1
```

***

# 5
DFT (PBE) results for an optimized crystal structure of MnZnSb.

Summary:
Formation energy without anion corrections, eV/atom: 0.238

The structure in CIF format:
```
data_MnZnSb
_symmetry_space_group_name_H-M 'I 4 m m'
_symmetry_Int_Tables_number 107
_symmetry_space_group_name_Hall 'I 4 -2'
_cell_length_a 3.109
_cell_length_b 3.109
_cell_length_c 11.864
_cell_angle_alpha 90.00
_cell_angle_beta 90.00
_cell_angle_gamma 90.00
loop_
_atom_site_label
_atom_site_type_symbol
_atom_site_fract_x
_atom_site_fract_y
_atom_site_fract_z
_atom_site_occupancy
Mn1 Mn 0.000 0.000 0.000 1
Zn1 Zn 0.000 0.000 0.624 1
Sb1 Sb 0.000 0.000 0.336 1
```

***

# 6
DFT (PBE) results for an optimized crystal structure of PrSm2PaRu2.

Summary:
Calculated formation energy, eV per atom: -0.243

The structure in CIF format:
```
data_PrSm2PaRu2
_symmetry_space_group_name_H-M 'I b a m'
_symmetry_Int_Tables_number 72
_symmetry_space_group_name_Hall '-I 2 2c'
_cell_length_a 7.212
_cell_length_b 13.578
_cell_length_c 6.836
_cell_angle_alpha 90.00
_cell_angle_beta 90.00
_cell_angle_gamma 90.00
loop_
_atom_site_label
_atom_site_type_symbol
_atom_site_fract_x
_atom_site_fract_y
_atom_site_fract_z
_atom_site_occupancy
Pr1 Pr 0.000 0.000 0.250 1
Sm1 Sm 0.183 0.300 0.000 1
Pa1 Pa 0.000 0.500 0.250 1
Ru1 Ru 0.199 0.402 0.500 1
```

***

| no. | total magnetization (μB per atom) | DOS at the Fermi energy (states/eV per cell) |
| --- | --- | --- |
| 1 | 0.347 | 3.5 |
| 2 | 0.093 | 3.7 |
| 3 | 0.000 | 7.1 |
| 4 | 0.000 | 6.9 |
| 5 | 1.120 | 3.2 |
| 6 | 0.000 | 23.9 |